Entry 1:
First-principles (PBE) data for a geometry-optimized Cs3CoOs structure, as listed in Alexandria.

a b c (Å): 6.2601 6.2601 6.2601
angles (deg): 90.00 90.00 90.00
Positions (direct):
Cs1 0.0000 0.0000 0.5000
Cs2 0.0000 0.5000 0.0000
Cs3 0.5000 0.0000 0.0000
Co1 0.5000 0.5000 0.5000
Os1 0.0000 0.0000 0.0000

Summary:
- Energy: -12.433 eV per cell
- N(E_F): 64.839 states/eV per cell
- Crystal system: cubic
- Energy of formation from the pure elements: 1.69 eV/atom
- E above lowest polymorph: 0.000 eV per atom

=====

Entry 2:
First-principles (PBE) data for a geometry-optimized CsCo3Os structure, as listed in Alexandria.

a b c (Å): 4.7078 4.7078 4.7078
angles (deg): 90.00 90.00 90.00
Positions (direct):
Cs1 0.0000 0.0000 0.0000
Co1 0.0000 0.5000 0.5000
Co2 0.5000 0.0000 0.5000
Co3 0.5000 0.5000 0.0000
Os1 0.5000 0.5000 0.5000

Summary:
- Energy: -26.263 eV per cell
- N(E_F): 7.745 states/eV per cell
- Crystal system: cubic
- Energy of formation from the pure elements: 1.43 eV/atom
- E above lowest polymorph: 0.000 eV per atom

=====

Entry 3:
First-principles (PBE) data for a geometry-optimized CsCoOs structure, as listed in Alexandria.

a b c (Å): 11.0492 4.1460 8.5033
angles (deg): 90.00 90.00 90.00
Positions (direct):
Cs1 0.2022 0.2500 0.0128
Cs2 0.2978 0.7500 0.5128
Cs3 0.7022 0.2500 0.4872
Cs4 0.7978 0.7500 0.9872
Co1 0.0310 0.2500 0.6552
Co2 0.4690 0.7500 0.1552
Co3 0.5310 0.2500 0.8448
Co4 0.9690 0.7500 0.3448
Os1 0.0420 0.2500 0.3863
Os2 0.4580 0.7500 0.8863
Os3 0.5420 0.2500 0.1137
Os4 0.9580 0.7500 0.6137

Summary:
- Energy: -62.610 eV per cell
- N(E_F): 10.503 states/eV per cell
- Crystal system: orthorhombic
- Energy of formation from the pure elements: 1.18 eV/atom

=====

Entry 4:
First-principles (PBE) data for a geometry-optimized CsCoOs3 structure, as listed in Alexandria.

a b c (Å): 4.6405 4.6405 4.6405
angles (deg): 90.00 90.00 90.00
Positions (direct):
Cs1 0.0000 0.0000 0.0000
Co1 0.5000 0.5000 0.5000
Os1 0.0000 0.5000 0.5000
Os2 0.5000 0.0000 0.5000
Os3 0.5000 0.5000 0.0000

Summary:
- Energy: -30.108 eV per cell
- N(E_F): 13.574 states/eV per cell
- Crystal system: cubic
- Energy of formation from the pure elements: 2.31 eV/atom
- E above lowest polymorph: 0.000 eV per atom

=====

Entry 5:
First-principles (PBE) data for a geometry-optimized CsCo3Os structure, as listed in Alexandria.

a b c (Å): 4.5793 4.5793 4.5793
angles (deg): 90.00 90.00 90.00
Positions (direct):
Cs1 0.0000 0.0000 0.0000
Co1 0.0000 0.0000 0.5000
Co2 0.0000 0.5000 0.0000
Co3 0.5000 0.0000 0.0000
Os1 0.5000 0.5000 0.5000

Summary:
- Energy: -18.258 eV per cell
- N(E_F): 7.137 states/eV per cell
- Crystal system: cubic
- Energy of formation from the pure elements: 3.03 eV/atom
- E above lowest polymorph: 1.601 eV per atom

=====

Entry 6:
First-principles (PBE) data for a geometry-optimized CsCo2Os structure, as listed in Alexandria.

a b c (Å): 4.6393 4.6393 4.6393
angles (deg): 60.00 60.00 60.00
Positions (direct):
Cs1 0.0000 0.0000 0.0000
Co1 0.2500 0.2500 0.2500
Co2 0.7500 0.7500 0.7500
Os1 0.5000 0.5000 0.5000

Summary:
- Energy: -18.832 eV per cell
- N(E_F): 5.131 states/eV per cell
- Crystal system: cubic
- Energy of formation from the pure elements: 1.87 eV/atom